{
  "formula": "GeAsOs2Br",
  "functional": "PBE",
  "state": "relaxed",
  "sg": "P4/mmm",
  "m_tot_mub_per_fu": 0.000,
  "e_form_raw_mev_per_atom": 2159,
  "crystal_system": "tetragonal",
  "lattice": [[4.618, 0.000, 0.000], [0.000, 4.618, 0.000], [0.000, 0.000, 4.996]],
  "species": ["Ge", "As", "Os", "Os", "Br"],
  "frac_coords": [[0.000, 0.000, 0.000], [0.500, 0.500, 0.000], [0.000, 0.500, 0.500], [0.500, 0.000, 0.500], [0.000, 0.000, 0.500]]
}

---

{
  "formula": "GeAsOsBr2",
  "functional": "PBE",
  "state": "relaxed",
  "de_polymorph_ev_per_atom": 0.702,
  "sg": "P4/mmm",
  "m_tot_mub_per_fu": 3.782,
  "e_form_raw_mev_per_atom": 1423,
  "crystal_system": "tetragonal",
  "lattice": [[5.078, 0.000, 0.000], [0.000, 5.078, 0.000], [0.000, 0.000, 5.284]],
  "species": ["Ge", "As", "Os", "Br", "Br"],
  "frac_coords": [[0.000, 0.000, 0.000], [0.000, 0.000, 0.500], [0.500, 0.500, 0.500], [0.000, 0.500, 0.000], [0.500, 0.000, 0.000]]
}

---

{
  "formula": "GeAsOsBr2",
  "functional": "PBE",
  "state": "relaxed",
  "de_polymorph_ev_per_atom": 0.000,
  "sg": "P4/mmm",
  "m_tot_mub_per_fu": 0.568,
  "e_form_raw_mev_per_atom": 721,
  "crystal_system": "tetragonal",
  "lattice": [[5.216, 0.000, 0.000], [0.000, 5.216, 0.000], [0.000, 0.000, 4.680]],
  "species": ["Ge", "As", "Os", "Br", "Br"],
  "frac_coords": [[0.000, 0.000, 0.000], [0.500, 0.500, 0.000], [0.500, 0.500, 0.500], [0.000, 0.500, 0.500], [0.500, 0.000, 0.500]]
}

---

{
  "formula": "GeAsPbBr2",
  "functional": "PBE",
  "state": "relaxed",
  "de_polymorph_ev_per_atom": 0.415,
  "sg": "P4/mmm",
  "m_tot_mub_per_fu": 0.441,
  "e_form_raw_mev_per_atom": 448,
  "crystal_system": "tetragonal",
  "lattice": [[5.664, 0.000, 0.000], [0.000, 5.664, 0.000], [0.000, 0.000, 5.705]],
  "species": ["Ge", "As", "Pb", "Br", "Br"],
  "frac_coords": [[0.000, 0.000, 0.000], [0.500, 0.500, 0.000], [0.500, 0.500, 0.500], [0.000, 0.500, 0.500], [0.500, 0.000, 0.500]]
}

---

{
  "formula": "GeAsPbBr2",
  "functional": "PBE",
  "state": "relaxed",
  "de_polymorph_ev_per_atom": 0.000,
  "sg": "P4/mmm",
  "m_tot_mub_per_fu": 0.004,
  "e_form_raw_mev_per_atom": 33,
  "crystal_system": "tetragonal",
  "lattice": [[5.231, 0.000, 0.000], [0.000, 5.231, 0.000], [0.000, 0.000, 5.324]],
  "species": ["Ge", "As", "Pb", "Br", "Br"],
  "frac_coords": [[0.000, 0.000, 0.000], [0.000, 0.000, 0.500], [0.500, 0.500, 0.500], [0.000, 0.500, 0.000], [0.500, 0.000, 0.000]]
}

---

{
  "formula": "GeAs2PdBr",
  "functional": "PBE",
  "state": "relaxed",
  "de_polymorph_ev_per_atom": 0.000,
  "sg": "P4/mmm",
  "m_tot_mub_per_fu": 0.994,
  "e_form_raw_mev_per_atom": 546,
  "crystal_system": "tetragonal",
  "lattice": [[4.868, 0.000, 0.000], [0.000, 4.868, 0.000], [0.000, 0.000, 5.230]],
  "species": ["Ge", "As", "As", "Pd", "Br"],
  "frac_coords": [[0.000, 0.000, 0.000], [0.000, 0.500, 0.500], [0.500, 0.000, 0.500], [0.500, 0.500, 0.500], [0.500, 0.500, 0.000]]
}

---

{
  "formula": "GeAsPdBr2",
  "functional": "PBE",
  "state": "relaxed",
  "de_polymorph_ev_per_atom": 0.235,
  "sg": "P4/mmm",
  "m_tot_mub_per_fu": 1.514,
  "e_form_raw_mev_per_atom": 581,
  "crystal_system": "tetragonal",
  "lattice": [[5.196, 0.000, 0.000], [0.000, 5.196, 0.000], [0.000, 0.000, 5.191]],
  "species": ["Ge", "As", "Pd", "Br", "Br"],
  "frac_coords": [[0.000, 0.000, 0.000], [0.000, 0.000, 0.500], [0.500, 0.500, 0.500], [0.000, 0.500, 0.000], [0.500, 0.000, 0.000]]
}

---

{
  "formula": "GeAsPdBr2",
  "functional": "PBE",
  "state": "relaxed",
  "de_polymorph_ev_per_atom": 0.000,
  "sg": "P4/mmm",
  "m_tot_mub_per_fu": 0.000,
  "e_form_raw_mev_per_atom": 345,
  "crystal_system": "tetragonal",
  "lattice": [[5.087, 0.000, 0.000], [0.000, 5.087, 0.000], [0.000, 0.000, 4.971]],
  "species": ["Ge", "As", "Pd", "Br", "Br"],
  "frac_coords": [[0.000, 0.000, 0.000], [0.500, 0.500, 0.000], [0.500, 0.500, 0.500], [0.000, 0.500, 0.500], [0.500, 0.000, 0.500]]
}

---

{
  "formula": "GeAs2PdBr",
  "functional": "PBE",
  "state": "relaxed",
  "de_polymorph_ev_per_atom": 0.270,
  "sg": "P4/mmm",
  "m_tot_mub_per_fu": 0.000,
  "e_form_raw_mev_per_atom": 816,
  "crystal_system": "tetragonal",
  "lattice": [[4.958, 0.000, 0.000], [0.000, 4.958, 0.000], [0.000, 0.000, 5.120]],
  "species": ["Ge", "As", "As", "Pd", "Br"],
  "frac_coords": [[0.000, 0.000, 0.000], [0.000, 0.500, 0.000], [0.500, 0.000, 0.000], [0.500, 0.500, 0.500], [0.000, 0.000, 0.500]]
}

---

{
  "formula": "Pm6GeAs2Br3",
  "functional": "PBE",
  "state": "relaxed",
  "sg": "C2/m",
  "m_tot_mub_per_fu": 0.000,
  "e_form_raw_mev_per_atom": -1330,
  "crystal_system": "monoclinic",
  "lattice": [[9.470, -2.126, 0.000], [9.470, 2.126, 0.000], [-2.281, 0.000, 8.425]],
  "species": ["Pm", "Pm", "Pm", "Pm", "Pm", "Pm", "Ge", "As", "As", "Br", "Br", "Br"],
  "frac_coords": [[0.009, 0.009, 0.228], [0.324, 0.324, 0.442], [0.343, 0.343, 0.896], [0.657, 0.657, 0.104], [0.676, 0.676, 0.558], [0.991, 0.991, 0.772], [0.500, 0.500, 0.000], [0.167, 0.167, 0.332], [0.833, 0.833, 0.668], [0.166, 0.166, 0.832], [0.500, 0.500, 0.500], [0.834, 0.834, 0.168]]
}

---

{
  "formula": "Pm6Ge2AsBr3",
  "functional": "PBE",
  "state": "relaxed",
  "sg": "C2/m",
  "m_tot_mub_per_fu": 0.000,
  "e_form_raw_mev_per_atom": -1242,
  "crystal_system": "monoclinic",
  "lattice": [[9.478, -2.134, 0.000], [9.478, 2.134, 0.000], [-2.276, 0.000, 8.422]],
  "species": ["Pm", "Pm", "Pm", "Pm", "Pm", "Pm", "Ge", "Ge", "As", "Br", "Br", "Br"],
  "frac_coords": [[0.009, 0.009, 0.228], [0.325, 0.325, 0.438], [0.341, 0.341, 0.895], [0.659, 0.659, 0.105], [0.675, 0.675, 0.562], [0.991, 0.991, 0.772], [0.167, 0.167, 0.332], [0.833, 0.833, 0.668], [0.500, 0.500, 0.000], [0.166, 0.166, 0.832], [0.500, 0.500, 0.500], [0.834, 0.834, 0.168]]
}

---

{
  "formula": "Pm8Ge3AsBr4",
  "functional": "PBE",
  "state": "relaxed",
  "sg": "R-3m",
  "m_tot_mub_per_fu": 0.000,
  "e_form_raw_mev_per_atom": -1219,
  "crystal_system": "trigonal",
  "lattice": [[4.266, 2.463, 7.235], [-4.266, 2.463, 7.235], [0.000, -4.926, 7.235]],
  "species": ["Pm", "Pm", "Pm", "Pm", "Pm", "Pm", "Pm", "Pm", "Ge", "Ge", "Ge", "As", "Br", "Br", "Br", "Br"],
  "frac_coords": [[0.235, 0.738, 0.738], [0.237, 0.237, 0.237], [0.262, 0.262, 0.765], [0.262, 0.765, 0.262], [0.738, 0.235, 0.738], [0.738, 0.738, 0.235], [0.763, 0.763, 0.763], [0.765, 0.262, 0.262], [0.000, 0.000, 0.500], [0.000, 0.500, 0.000], [0.500, 0.000, 0.000], [0.500, 0.500, 0.500], [0.000, 0.000, 0.000], [0.000, 0.500, 0.500], [0.500, 0.000, 0.500], [0.500, 0.500, 0.000]]
}

---

{
  "formula": "Pr6Ge2As3Br",
  "functional": "PBE",
  "state": "relaxed",
  "sg": "C2/m",
  "m_tot_mub_per_fu": 0.000,
  "e_form_raw_mev_per_atom": -1268,
  "crystal_system": "monoclinic",
  "lattice": [[9.428, -2.144, 0.000], [9.428, 2.144, 0.000], [-2.002, 0.000, 8.503]],
  "species": ["Pr", "Pr", "Pr", "Pr", "Pr", "Pr", "Ge", "Ge", "As", "As", "As", "Br"],
  "frac_coords": [[0.001, 0.001, 0.269], [0.328, 0.328, 0.913], [0.333, 0.333, 0.415], [0.667, 0.667, 0.585], [0.672, 0.672, 0.087], [0.999, 0.999, 0.731], [0.165, 0.165, 0.331], [0.835, 0.835, 0.669], [0.163, 0.163, 0.835], [0.500, 0.500, 0.500], [0.837, 0.837, 0.165], [0.500, 0.500, 0.000]]
}

---

{
  "formula": "Pr6Ge2AsBr3",
  "functional": "PBE",
  "state": "relaxed",
  "sg": "C2/m",
  "m_tot_mub_per_fu": 0.000,
  "e_form_raw_mev_per_atom": -1259,
  "crystal_system": "monoclinic",
  "lattice": [[3.739, -6.479, 0.000], [3.739, 6.479, 0.000], [-2.489, 0.000, 7.387]],
  "species": ["Pr", "Pr", "Pr", "Pr", "Pr", "Pr", "Ge", "Ge", "As", "Br", "Br", "Br"],
  "frac_coords": [[0.095, 0.430, 0.788], [0.236, 0.236, 0.212], [0.430, 0.095, 0.788], [0.570, 0.905, 0.212], [0.764, 0.764, 0.788], [0.905, 0.570, 0.212], [0.167, 0.833, 0.000], [0.833, 0.167, 0.000], [0.500, 0.500, 0.000], [0.000, 0.000, 0.500], [0.332, 0.668, 0.500], [0.668, 0.332, 0.500]]
}

---

{
  "formula": "Pr6GeAs2Br3",
  "functional": "PBE",
  "state": "relaxed",
  "sg": "C2/m",
  "m_tot_mub_per_fu": 0.000,
  "e_form_raw_mev_per_atom": -1348,
  "crystal_system": "monoclinic",
  "lattice": [[9.634, -2.153, 0.000], [9.634, 2.153, 0.000], [-2.377, 0.000, 8.566]],
  "species": ["Pr", "Pr", "Pr", "Pr", "Pr", "Pr", "Ge", "As", "As", "Br", "Br", "Br"],
  "frac_coords": [[0.008, 0.008, 0.228], [0.325, 0.325, 0.441], [0.343, 0.343, 0.897], [0.657, 0.657, 0.103], [0.675, 0.675, 0.559], [0.992, 0.992, 0.772], [0.500, 0.500, 0.000], [0.167, 0.167, 0.332], [0.833, 0.833, 0.668], [0.166, 0.166, 0.831], [0.500, 0.500, 0.500], [0.834, 0.834, 0.169]]
}

---

{
  "formula": "Rb2GeAsBr6",
  "functional": "PBE",
  "state": "relaxed",
  "sg": "I4/mmm",
  "m_tot_mub_per_fu": 0.000,
  "e_form_raw_mev_per_atom": -912,
  "crystal_system": "tetragonal",
  "lattice": [[-3.903, 3.903, 5.541], [3.903, -3.903, 5.541], [3.903, 3.903, -5.541]],
  "species": ["Rb", "Rb", "Ge", "As", "Br", "Br", "Br", "Br", "Br", "Br"],
  "frac_coords": [[0.250, 0.750, 0.500], [0.750, 0.250, 0.500], [0.000, 0.000, 0.000], [0.500, 0.500, 0.000], [0.251, 0.251, 0.000], [0.252, 0.252, 0.503], [0.252, 0.748, 0.000], [0.748, 0.252, 0.000], [0.748, 0.748, 0.497], [0.749, 0.749, 0.000]]
}

---

{
  "formula": "RbGeAs2Br",
  "functional": "PBE",
  "state": "relaxed",
  "de_polymorph_ev_per_atom": 0.000,
  "sg": "P4/mmm",
  "m_tot_mub_per_fu": 0.001,
  "e_form_raw_mev_per_atom": -51,
  "crystal_system": "tetragonal",
  "lattice": [[4.946, 0.000, 0.000], [0.000, 4.946, 0.000], [0.000, 0.000, 6.698]],
  "species": ["Rb", "Ge", "As", "As", "Br"],
  "frac_coords": [[0.000, 0.000, 0.000], [0.500, 0.500, 0.500], [0.000, 0.500, 0.500], [0.500, 0.000, 0.500], [0.500, 0.500, 0.000]]
}

---

{
  "formula": "RbGeAsBr2",
  "functional": "PBE",
  "state": "relaxed",
  "de_polymorph_ev_per_atom": 1.096,
  "sg": "P4/mmm",
  "m_tot_mub_per_fu": 1.857,
  "e_form_raw_mev_per_atom": 650,
  "crystal_system": "tetragonal",
  "lattice": [[5.988, 0.000, 0.000], [0.000, 5.988, 0.000], [0.000, 0.000, 5.932]],
  "species": ["Rb", "Ge", "As", "Br", "Br"],
  "frac_coords": [[0.000, 0.000, 0.000], [0.500, 0.500, 0.500], [0.000, 0.000, 0.500], [0.000, 0.500, 0.000], [0.500, 0.000, 0.000]]
}

---

{
  "formula": "RbGeAs2Br",
  "functional": "PBE",
  "state": "relaxed",
  "de_polymorph_ev_per_atom": 1.334,
  "sg": "P4/mmm",
  "m_tot_mub_per_fu": 1.510,
  "e_form_raw_mev_per_atom": 1283,
  "crystal_system": "tetragonal",
  "lattice": [[5.786, 0.000, 0.000], [0.000, 5.786, 0.000], [0.000, 0.000, 5.914]],
  "species": ["Rb", "Ge", "As", "As", "Br"],
  "frac_coords": [[0.000, 0.000, 0.000], [0.500, 0.500, 0.500], [0.000, 0.500, 0.000], [0.500, 0.000, 0.000], [0.000, 0.000, 0.500]]
}

---

{
  "formula": "RbGeAsBr2",
  "functional": "PBE",
  "state": "relaxed",
  "de_polymorph_ev_per_atom": 0.000,
  "sg": "P4/mmm",
  "m_tot_mub_per_fu": 1.666,
  "e_form_raw_mev_per_atom": -447,
  "crystal_system": "tetragonal",
  "lattice": [[5.683, 0.000, 0.000], [0.000, 5.683, 0.000], [0.000, 0.000, 5.209]],
  "species": ["Rb", "Ge", "As", "Br", "Br"],
  "frac_coords": [[0.000, 0.000, 0.000], [0.500, 0.500, 0.500], [0.500, 0.500, 0.000], [0.000, 0.500, 0.500], [0.500, 0.000, 0.500]]
}

---

{
  "formula": "ReGeAsBr2",
  "functional": "PBE",
  "state": "relaxed",
  "de_polymorph_ev_per_atom": 0.000,
  "sg": "P4/mmm",
  "m_tot_mub_per_fu": 1.780,
  "e_form_raw_mev_per_atom": 769,
  "crystal_system": "tetragonal",
  "lattice": [[5.186, 0.000, 0.000], [0.000, 5.186, 0.000], [0.000, 0.000, 4.797]],
  "species": ["Re", "Ge", "As", "Br", "Br"],
  "frac_coords": [[0.000, 0.000, 0.000], [0.500, 0.500, 0.500], [0.000, 0.000, 0.500], [0.000, 0.500, 0.000], [0.500, 0.000, 0.000]]
}

---

{
  "formula": "ReGeAsBr2",
  "functional": "PBE",
  "state": "relaxed",
  "de_polymorph_ev_per_atom": 0.503,
  "sg": "P4/mmm",
  "m_tot_mub_per_fu": 4.440,
  "e_form_raw_mev_per_atom": 1273,
  "crystal_system": "tetragonal",
  "lattice": [[5.121, 0.000, 0.000], [0.000, 5.121, 0.000], [0.000, 0.000, 5.345]],
  "species": ["Re", "Ge", "As", "Br", "Br"],
  "frac_coords": [[0.000, 0.000, 0.000], [0.500, 0.500, 0.500], [0.500, 0.500, 0.000], [0.000, 0.500, 0.500], [0.500, 0.000, 0.500]]
}

---

{
  "formula": "GeAsRuBr2",
  "functional": "PBE",
  "state": "relaxed",
  "de_polymorph_ev_per_atom": 0.000,
  "sg": "P4/mmm",
  "m_tot_mub_per_fu": 0.619,
  "e_form_raw_mev_per_atom": 486,
  "crystal_system": "tetragonal",
  "lattice": [[5.177, 0.000, 0.000], [0.000, 5.177, 0.000], [0.000, 0.000, 4.680]],
  "species": ["Ge", "As", "Ru", "Br", "Br"],
  "frac_coords": [[0.000, 0.000, 0.000], [0.500, 0.500, 0.000], [0.500, 0.500, 0.500], [0.000, 0.500, 0.500], [0.500, 0.000, 0.500]]
}

---

{
  "formula": "GeAs2RuBr",
  "functional": "PBE",
  "state": "relaxed",
  "de_polymorph_ev_per_atom": 0.724,
  "sg": "P4/mmm",
  "m_tot_mub_per_fu": 2.295,
  "e_form_raw_mev_per_atom": 1240,
  "crystal_system": "tetragonal",
  "lattice": [[4.934, 0.000, 0.000], [0.000, 4.934, 0.000], [0.000, 0.000, 5.064]],
  "species": ["Ge", "As", "As", "Ru", "Br"],
  "frac_coords": [[0.000, 0.000, 0.000], [0.000, 0.500, 0.000], [0.500, 0.000, 0.000], [0.500, 0.500, 0.500], [0.000, 0.000, 0.500]]
}

---

{
  "formula": "GeAsRuBr2",
  "functional": "PBE",
  "state": "relaxed",
  "de_polymorph_ev_per_atom": 0.563,
  "sg": "P4/mmm",
  "m_tot_mub_per_fu": 3.784,
  "e_form_raw_mev_per_atom": 1049,
  "crystal_system": "tetragonal",
  "lattice": [[5.146, 0.000, 0.000], [0.000, 5.146, 0.000], [0.000, 0.000, 5.205]],
  "species": ["Ge", "As", "Ru", "Br", "Br"],
  "frac_coords": [[0.000, 0.000, 0.000], [0.000, 0.000, 0.500], [0.500, 0.500, 0.500], [0.000, 0.500, 0.000], [0.500, 0.000, 0.000]]
}

---

{
  "formula": "GeAs2RuBr",
  "functional": "PBE",
  "state": "relaxed",
  "de_polymorph_ev_per_atom": 0.000,
  "sg": "P4/mmm",
  "m_tot_mub_per_fu": 0.000,
  "e_form_raw_mev_per_atom": 517,
  "crystal_system": "tetragonal",
  "lattice": [[4.716, 0.000, 0.000], [0.000, 4.716, 0.000], [0.000, 0.000, 5.373]],
  "species": ["Ge", "As", "As", "Ru", "Br"],
  "frac_coords": [[0.000, 0.000, 0.000], [0.000, 0.500, 0.500], [0.500, 0.000, 0.500], [0.500, 0.500, 0.500], [0.500, 0.500, 0.000]]
}

---

| no. | total energy (eV per cell) | Fermi-level density of states (states/eV/f.u.) |
| --- | --- | --- |
| 1 | -22.60 | 5.70 |
| 2 | -16.73 | 5.39 |
| 3 | -20.24 | 3.97 |
| 4 | -14.08 | 3.50 |
| 5 | -16.16 | 3.82 |
| 6 | -18.05 | 5.22 |
| 7 | -14.90 | 4.19 |
| 8 | -16.08 | 3.26 |
| 9 | -16.70 | 4.37 |
| 10 | -63.40 | 5.55 |
| 11 | -62.31 | 5.70 |
| 12 | -82.71 | 8.44 |
| 13 | -68.75 | 3.36 |
| 14 | -62.69 | 5.40 |
| 15 | -63.79 | 5.51 |
| 16 | -30.36 | 4.54 |
| 17 | -16.81 | 4.17 |
| 18 | -10.33 | 4.55 |
| 19 | -10.14 | 3.98 |
| 20 | -15.81 | 2.98 |
| 21 | -21.21 | 5.64 |
| 22 | -18.70 | 2.08 |
| 23 | -19.46 | 4.41 |
| 24 | -18.66 | 4.55 |
| 25 | -16.64 | 5.48 |
| 26 | -22.28 | 4.49 |